Record 1
Mg2HgBi2 after structural relaxation. Source: the Alexandria database, functional PBE-GGA.

Unit cell a=9.044 b=9.044 c=3.408 alpha=90.00 beta=90.00 gamma=90.00
Positions (direct):
Bi1 0.651 0.849 0.500
Hg1 0.500 0.500 0.000
Mg1 0.353 0.853 0.000
Bi2 0.151 0.651 0.500
Bi3 0.349 0.151 0.500
Mg2 0.853 0.647 0.000
Bi4 0.849 0.349 0.500
Hg2 0.000 0.000 0.000
Mg3 0.147 0.353 0.000
Mg4 0.647 0.147 0.000

Properties
**E_form**: -0.069 eV per atom
**Energy above the lowest structure with this stoichiometry**: 0 meV per atom
**Calculated density**: 7.949 g cm⁻³
**SG**: P4/mbm (127)

Record 2
Ce3Ni4Rh4 after structural relaxation. Source: the Alexandria database, functional PBE-GGA.

Unit cell a=6.384 b=6.384 c=6.384 alpha=109.47 beta=109.47 gamma=109.47
Positions (direct):
Ce1 0.500 0.500 0.000
Ce2 0.000 0.500 0.500
Ni1 0.000 0.230 0.000
Rh1 0.000 0.593 0.000
Ni2 0.770 0.770 0.770
Rh2 0.593 0.000 0.000
Rh3 0.000 0.000 0.593
Ce3 0.500 0.000 0.500
Rh4 0.407 0.407 0.407
Ni3 0.230 0.000 0.000
Ni4 0.000 0.000 0.230

Properties
**E_form**: -0.264 eV per atom
**Calculated density**: 8.846 g cm⁻³
**SG**: I-43m (217)

Record 3
Ac2TmGa after structural relaxation. Source: the Alexandria database, functional PBE-GGA.

Unit cell a=3.944 b=3.944 c=8.783 alpha=90.00 beta=90.00 gamma=90.00
Positions (direct):
Ga1 0.500 0.500 0.000
Ac1 0.000 0.000 0.786
Ac2 0.000 0.000 0.214
Tm1 0.500 0.500 0.500

Properties
**E_form**: -0.149 eV per atom
**Energy above the lowest structure with this stoichiometry**: 0 meV per atom
**Calculated density**: 8.419 g cm⁻³
**SG**: P4/mmm (123)

Record 4
PrSmY6 after structural relaxation. Source: the Alexandria database, functional PBE-GGA.

Unit cell a=6.101 b=6.101 c=9.478 alpha=87.79 beta=116.46 gamma=111.58
Positions (direct):
Y1 0.843 0.938 0.299
Y2 0.361 0.456 0.299
Sm1 0.000 0.000 0.000
Pr1 0.500 0.000 0.500
Y3 0.700 0.371 0.071
Y4 0.300 0.629 0.929
Y5 0.157 0.062 0.701
Y6 0.639 0.544 0.701

Properties
**E_form**: 0.372 eV per atom
**Energy above the lowest structure with this stoichiometry**: 226 meV per atom
**Calculated density**: 4.717 g cm⁻³
**SG**: C2/m (12)

Record 5
La2SbRh2 after structural relaxation. Source: the Alexandria database, functional PBE-GGA.

Unit cell a=4.613 b=5.703 c=5.703 alpha=62.82 beta=66.14 gamma=66.14
Positions (direct):
Rh1 0.500 0.266 0.734
La1 0.795 0.705 0.705
Rh2 0.500 0.734 0.266
Sb1 0.000 0.000 0.000
La2 0.205 0.295 0.295

Properties
**Energy above the lowest structure with this stoichiometry**: 0 meV per atom
**Calculated density**: 8.553 g cm⁻³
**Energy relative to the elements, uncorrected**: -920 meV/atom
**SG**: Immm (71)

Record 6
Li2PIrO6 after structural relaxation. Source: the Alexandria database, functional PBE-GGA.

Unit cell a=4.126 b=5.009 c=5.009 alpha=90.00 beta=90.00 gamma=90.00
Positions (direct):
Ir1 0.651 0.500 0.500
O1 0.706 0.775 0.775
O2 0.706 0.775 0.225
O3 0.706 0.225 0.775
O4 0.168 0.500 0.500
Li1 0.007 0.000 0.500
Li2 0.007 0.500 0.000
O5 0.706 0.225 0.225
P1 0.577 0.000 0.000
O6 0.212 0.000 0.000

Properties
**Calculated density**: 5.343 g cm⁻³
**Energy relative to the elements, uncorrected**: -1295 meV/atom
**SG**: P4mm (99)

Record 7
InPbIO2 after structural relaxation. Source: the Alexandria database, functional PBE-GGA.

Unit cell a=4.395 b=4.395 c=5.738 alpha=90.00 beta=90.00 gamma=90.00
Positions (direct):
Pb1 0.500 0.500 0.500
I1 0.000 0.000 0.500
In1 0.000 0.000 0.000
O1 0.500 0.000 0.000
O2 0.000 0.500 0.000

Properties
**Energy above the lowest structure with this stoichiometry**: 0 meV per atom
**Calculated density**: 7.205 g cm⁻³
**Energy relative to the elements, uncorrected**: -358 meV/atom
**SG**: P4/mmm (123)

Record 8
Pm3SmPd after structural relaxation. Source: the Alexandria database, functional PBE-GGA.

Unit cell a=3.825 b=6.504 c=12.903 alpha=85.89 beta=81.48 gamma=72.90
Positions (direct):
Pm1 0.426 0.627 0.521
Sm1 0.106 0.502 0.286
Pm2 0.758 0.727 0.757
Pm3 0.990 0.105 0.916
Sm2 0.223 0.560 0.994
Pd1 0.764 0.338 0.135
Pm4 0.106 0.166 0.622
Pm5 0.455 0.939 0.152
Pm6 0.786 0.042 0.386
Pd2 0.447 0.332 0.774

Properties
**E_form**: -0.319 eV per atom
**Energy above the lowest structure with this stoichiometry**: 0 meV per atom
**Calculated density**: 7.575 g cm⁻³
**SG**: Cm (8)

Values of electronic total energy, in order: -11.60, -73.23, -16.31, -45.31, -33.28, -60.79, -19.70, -25.76, all in eV per formula unit.